[1]
Entry from Alexandria via LeMat-Bulk: a relaxed Pm6PrDy2Y crystal (PBE-GGA).

Output
As for the formation energy: 2.7 kcal/mol of atoms. The calculation puts the total DFT energy (no corrections) at -4.7799 eV per atom. The calculated volume is 684 Å³ per cell. Its space-group type is C2/c (15).

Unit cell a=8.954 b=8.954 c=9.766 alpha=94.11 beta=94.11 gamma=118.03
Fractional positions:
Pm  0.021  0.569  0.184
Pm  0.116  0.757  0.555
Pm  0.243  0.884  0.945
Pm  0.292  0.504  0.379
Pm  0.431  0.979  0.316
Pm  0.496  0.708  0.121
Pm  0.504  0.292  0.879
Pm  0.569  0.021  0.684
Pm  0.708  0.496  0.621
Pm  0.757  0.116  0.055
Pm  0.884  0.243  0.445
Pm  0.979  0.431  0.816
Pr  0.406  0.594  0.750
Pr  0.594  0.406  0.250
Dy  0.194  0.296  0.044
Dy  0.296  0.194  0.544
Dy  0.704  0.806  0.456
Dy  0.806  0.704  0.956
Y  0.027  0.973  0.250
Y  0.973  0.027  0.750

[2]
Entry from Alexandria via LeMat-Bulk: a relaxed PmPr2Dy3Y6 crystal (PBE-GGA).

Output
As for the formation energy: 0.4 kcal/mol of atoms. The calculation puts the total DFT energy (no corrections) at -5.5572 eV per atom. The calculated volume is 393 Å³ per cell. Its space-group type is C2/m (12).

Unit cell a=6.232 b=6.232 c=11.872 alpha=95.00 beta=95.00 gamma=119.97
Fractional positions:
Pm  0.000  0.000  0.000
Pr  0.333  0.667  0.000
Pr  0.667  0.333  0.000
Dy  0.167  0.833  0.500
Dy  0.500  0.500  0.500
Dy  0.833  0.167  0.500
Y  0.085  0.418  0.254
Y  0.248  0.248  0.746
Y  0.418  0.085  0.254
Y  0.582  0.915  0.746
Y  0.752  0.752  0.254
Y  0.915  0.582  0.746

[3]
Entry from Alexandria via LeMat-Bulk: a relaxed Pm2Pr2DyY2 crystal (PBE-GGA).

Output
As for the formation energy: 2.8 kcal/mol of atoms. The calculation puts the total DFT energy (no corrections) at -5.1038 eV per atom. The calculated volume is 239 Å³ per cell. Its space-group type is R-3m (166).

Unit cell a=8.905 b=8.905 c=8.905 alpha=37.86 beta=37.86 gamma=37.86
Fractional positions:
Pm  0.216  0.216  0.216
Pm  0.784  0.784  0.784
Pr  0.361  0.361  0.361
Pr  0.639  0.639  0.639
Dy  0.500  0.500  0.500
Y  0.073  0.073  0.073
Y  0.927  0.927  0.927

[4]
Entry from Alexandria via LeMat-Bulk: a relaxed PmPr3Dy2Y6 crystal (PBE-GGA).

Output
As for the formation energy: 0.3 kcal/mol of atoms. The calculation puts the total DFT energy (no corrections) at -5.5748 eV per atom. The calculated volume is 398 Å³ per cell. Its space-group type is C2/m (12).

Unit cell a=6.260 b=6.260 c=11.897 alpha=95.01 beta=95.01 gamma=119.98
Fractional positions:
Pm  0.000  0.000  0.000
Pr  0.167  0.833  0.500
Pr  0.500  0.500  0.500
Pr  0.833  0.167  0.500
Dy  0.333  0.667  0.000
Dy  0.667  0.333  0.000
Y  0.082  0.416  0.247
Y  0.251  0.251  0.753
Y  0.416  0.082  0.247
Y  0.584  0.918  0.753
Y  0.749  0.749  0.247
Y  0.918  0.584  0.753

[5]
Entry from Alexandria via LeMat-Bulk: a relaxed PmPr6Dy2Y crystal (PBE-GGA).

Output
As for the formation energy: 2.5 kcal/mol of atoms. The calculation puts the total DFT energy (no corrections) at -4.7991 eV per atom. The calculated volume is 701 Å³ per cell. Its space-group type is C2/c (15).

Unit cell a=9.031 b=9.031 c=9.802 alpha=94.02 beta=94.02 gamma=117.72
Fractional positions:
Pm  0.027  0.973  0.750
Pm  0.973  0.027  0.250
Pr  0.010  0.564  0.686
Pr  0.114  0.759  0.054
Pr  0.241  0.886  0.446
Pr  0.294  0.510  0.881
Pr  0.436  0.990  0.814
Pr  0.490  0.706  0.619
Pr  0.510  0.294  0.381
Pr  0.564  0.010  0.186
Pr  0.706  0.490  0.119
Pr  0.759  0.114  0.554
Pr  0.886  0.241  0.946
Pr  0.990  0.436  0.314
Dy  0.200  0.297  0.546
Dy  0.297  0.200  0.046
Dy  0.703  0.800  0.954
Dy  0.800  0.703  0.454
Y  0.410  0.590  0.250
Y  0.590  0.410  0.750

[6]
Entry from Alexandria via LeMat-Bulk: a relaxed PmPr2Dy5Y crystal (PBE-GGA).

Output
As for the formation energy: 6.1 kcal/mol of atoms. The calculation puts the total DFT energy (no corrections) at -4.6023 eV per atom. The calculated volume is 599 Å³ per cell. Its space-group type is I4/mcm (140).

Unit cell a=9.997 b=9.997 c=9.997 alpha=128.27 beta=128.27 gamma=76.19
Fractional positions:
Pm  0.250  0.250  0.000
Pm  0.750  0.750  0.000
Pr  0.118  0.618  0.736
Pr  0.382  0.118  0.500
Pr  0.618  0.882  0.500
Pr  0.882  0.382  0.264
Dy  0.000  0.000  0.000
Dy  0.073  0.148  0.500
Dy  0.148  0.648  0.075
Dy  0.352  0.427  0.500
Dy  0.427  0.927  0.075
Dy  0.500  0.500  0.000
Dy  0.573  0.073  0.925
Dy  0.648  0.573  0.500
Dy  0.852  0.352  0.925
Dy  0.927  0.852  0.500
Y  0.250  0.750  0.500
Y  0.750  0.250  0.500

[7]
Entry from Alexandria via LeMat-Bulk: a relaxed Pm2PrDy3Y6 crystal (PBE-GGA).

Output
As for the formation energy: 0.4 kcal/mol of atoms. The calculation puts the total DFT energy (no corrections) at -5.5550 eV per atom. The calculated volume is 392 Å³ per cell. Its space-group type is C2/m (12).

Unit cell a=6.221 b=6.221 c=11.858 alpha=95.00 beta=95.00 gamma=119.97
Fractional positions:
Pm  0.167  0.833  0.000
Pm  0.833  0.167  0.000
Pr  0.500  0.500  0.000
Dy  0.000  0.000  0.500
Dy  0.333  0.667  0.500
Dy  0.667  0.333  0.500
Y  0.082  0.415  0.747
Y  0.251  0.251  0.253
Y  0.415  0.082  0.747
Y  0.585  0.918  0.253
Y  0.749  0.749  0.747
Y  0.918  0.585  0.253

[8]
Entry from Alexandria via LeMat-Bulk: a relaxed Pm6PrDy2Y3 crystal (PBE-GGA).

Output
As for the formation energy: 0.3 kcal/mol of atoms. The calculation puts the total DFT energy (no corrections) at -5.1439 eV per atom. The calculated volume is 401 Å³ per cell. Its space-group type is C2/m (12).

Unit cell a=6.276 b=6.276 c=11.948 alpha=95.01 beta=95.01 gamma=119.99
Fractional positions:
Pm  0.082  0.416  0.249
Pm  0.250  0.250  0.751
Pm  0.416  0.082  0.249
Pm  0.584  0.918  0.751
Pm  0.750  0.750  0.249
Pm  0.918  0.584  0.751
Pr  0.500  0.500  0.500
Dy  0.167  0.833  0.500
Dy  0.833  0.167  0.500
Y  0.000  0.000  0.000
Y  0.333  0.667  0.000
Y  0.667  0.333  0.000

[9]
Entry from Alexandria via LeMat-Bulk: a relaxed Pm3Pr2DyY6 crystal (PBE-GGA).

Output
As for the formation energy: 0.3 kcal/mol of atoms. The calculation puts the total DFT energy (no corrections) at -5.5885 eV per atom. The calculated volume is 398 Å³ per cell. Its space-group type is C2/m (12).

Unit cell a=6.265 b=6.265 c=11.899 alpha=95.02 beta=95.02 gamma=119.98
Fractional positions:
Pm  0.000  0.000  0.000
Pm  0.333  0.667  0.000
Pm  0.667  0.333  0.000
Pr  0.166  0.834  0.500
Pr  0.834  0.166  0.500
Dy  0.500  0.500  0.500
Y  0.084  0.417  0.250
Y  0.251  0.251  0.751
Y  0.417  0.084  0.250
Y  0.583  0.916  0.750
Y  0.749  0.749  0.249
Y  0.916  0.583  0.750

[10]
Entry from Alexandria via LeMat-Bulk: a relaxed PmPrDyY2 crystal (PBE-GGA).

Output
As for the formation energy: 8.7 kcal/mol of atoms. The calculation puts the total DFT energy (no corrections) at -5.0335 eV per atom. The calculated volume is 356 Å³ per cell. Its space-group type is Cmcm (63).

Unit cell a=7.196 b=7.196 c=7.214 alpha=90.00 beta=90.00 gamma=107.57
Fractional positions:
Pm  0.002  0.998  0.750
Pm  0.998  0.002  0.250
Pr  0.269  0.731  0.750
Pr  0.731  0.269  0.250
Dy  0.276  0.724  0.250
Dy  0.724  0.276  0.750
Y  0.312  0.312  0.000
Y  0.312  0.312  0.500
Y  0.688  0.688  0.000
Y  0.688  0.688  0.500

[11]
Entry from Alexandria via LeMat-Bulk: a relaxed Pm5Pr2DyY crystal (PBE-GGA).

Output
As for the formation energy: 6.2 kcal/mol of atoms. The calculation puts the total DFT energy (no corrections) at -4.6639 eV per atom. The calculated volume is 624 Å³ per cell. Its space-group type is I4/mcm (140).

Unit cell a=10.303 b=10.303 c=10.303 alpha=130.15 beta=130.15 gamma=73.16
Fractional positions:
Pm  0.000  0.000  0.000
Pm  0.074  0.574  0.935
Pm  0.140  0.074  0.500
Pm  0.360  0.860  0.935
Pm  0.426  0.360  0.500
Pm  0.500  0.500  0.000
Pm  0.574  0.640  0.500
Pm  0.640  0.140  0.065
Pm  0.860  0.926  0.500
Pm  0.926  0.426  0.065
Pr  0.121  0.379  0.500
Pr  0.379  0.879  0.258
Pr  0.621  0.121  0.742
Pr  0.879  0.621  0.500
Dy  0.250  0.250  0.000
Dy  0.750  0.750  0.000
Y  0.250  0.750  0.500
Y  0.750  0.250  0.500

[12]
Entry from Alexandria via LeMat-Bulk: a relaxed PmPr3Dy6Y2 crystal (PBE-GGA).

Output
As for the formation energy: 0.4 kcal/mol of atoms. The calculation puts the total DFT energy (no corrections) at -4.9516 eV per atom. The calculated volume is 395 Å³ per cell. Its space-group type is C2/m (12).

Unit cell a=6.242 b=6.242 c=11.900 alpha=95.00 beta=95.00 gamma=119.98
Fractional positions:
Pm  0.000  0.000  0.000
Pr  0.167  0.833  0.500
Pr  0.500  0.500  0.500
Pr  0.833  0.167  0.500
Dy  0.083  0.416  0.247
Dy  0.251  0.251  0.753
Dy  0.416  0.083  0.247
Dy  0.584  0.917  0.753
Dy  0.749  0.749  0.247
Dy  0.917  0.584  0.753
Y  0.333  0.667  0.000
Y  0.667  0.333  0.000